Below is a crystal of KLiRh2 relaxed with PBEsol, with properties calculated at the SCAN level.

a b c (Å): 2.736 4.868 5.020
angles (deg): 90.00 98.38 90.00
Positions (direct):
1 K 0.000 0.000 0.000
2 Li 0.500 0.000 0.500
3 Rh 0.310 0.500 0.720
4 Rh 0.690 0.500 0.280

Computed properties:
For the excess energy over the best structure of this formula in the dataset, the calculation gives 87 meV per atom. As for the density of states at the Fermi level: 3.04 states/eV per cell.

Below is a crystal of KLiRh2 relaxed with PBEsol, with properties calculated at the SCAN level.

a b c (Å): 5.733 5.733 5.733
angles (deg): 152.46 132.75 55.56
Positions (direct):
1 K 0.000 0.000 0.000
2 Li 0.500 0.500 0.000
3 Rh 0.275 0.775 0.500
4 Rh 0.725 0.225 0.500

Computed properties:
For the excess energy over the best structure of this formula in the dataset, the calculation gives 0 meV per atom. As for the density of states at the Fermi level: 3.25 states/eV per cell.

Below is a crystal of KLiRh2 relaxed with PBEsol, with properties calculated at the SCAN level.

a b c (Å): 5.958 5.958 5.958
angles (deg): 153.40 126.99 60.27
Positions (direct):
1 K 0.000 0.000 0.000
2 Li 0.287 0.787 0.500
3 Rh 0.516 0.516 0.000
4 Rh 0.716 0.216 0.500

Computed properties:
For the excess energy over the best structure of this formula in the dataset, the calculation gives 185 meV per atom. As for the density of states at the Fermi level: 3.14 states/eV per cell.

Below is a crystal of KLiRh2 relaxed with PBEsol, with properties calculated at the SCAN level.

a b c (Å): 2.639 2.639 9.280
angles (deg): 90.00 90.00 90.00
Positions (direct):
1 K 0.000 0.000 0.000
2 Li 0.000 0.000 0.500
3 Rh 0.500 0.500 0.288
4 Rh 0.500 0.500 0.712

Computed properties:
For the excess energy over the best structure of this formula in the dataset, the calculation gives 86 meV per atom. As for the density of states at the Fermi level: 1.91 states/eV per cell.

Looking at ΔH_f (0 K) for the records above, in order, we have 157.7; 124.1; 195.4; 157.5 kJ/mol of formula units.